Compound: SrWCl
Source: Alexandria via LeMat-Bulk
Functional: GGA-PBE
Structure: relaxed

Unit cell a=3.268 b=3.268 c=7.082 alpha=90.00 beta=90.00 gamma=120.00
Element x y z (fractional)
Sr 0.667 0.333 0.332
Cl 0.000 0.000 0.975
W 0.333 0.667 0.694

Uncorrected formation energy   659 meV/atom
Energy above the most stable polymorph in this dataset   85 meV/atom